Compound: La13Mg3
Source: the Alexandria database
Functional: PBE-GGA
Structure: optimized geometry

Properties
Its formation energy from the elements is -0.01 eV per atom. As for the space group: Amm2. The calculation puts the magnetic moment at 0.00 Bohr magnetons per cell.

The structure in extended XYZ format:
```
16
Lattice="7.065 0.939 0.000 -2.420 6.703 0.000 0.000 0.000 11.174" Properties=species:S:1:pos:R:3 pbc="T T T"
La 1.014 1.505 5.587
La 1.047 7.052 8.414
La -1.132 3.466 8.414
La 3.421 5.768 0.000
La 4.357 2.585 5.587
La 4.527 2.482 0.000
La 1.100 1.950 0.000
La 0.457 4.955 5.587
La -1.132 3.466 2.760
La 3.776 6.049 5.587
La 1.047 7.052 2.760
La 2.426 3.759 2.921
La 2.426 3.759 8.253
Mg 6.969 0.997 8.539
Mg 6.969 0.997 2.635
Mg -0.114 5.302 0.000
```